Entry 1:
This record from OQMD via LeMat-Bulk describes Na5AuSO2 after structural relaxation. The functional is PBE.

Computed properties:
Its space group is P4/mmm. Its crystal system is tetragonal. The total energy comes out at -3.73 eV per atom.

a b c (Å): 4.5281 4.5281 8.4696
angles (deg): 90.00 90.00 90.00
Closest atoms and distances in Å follow each position.
Fractional positions:
Na1 0.0000 0.0000 0.0000  2 O 2.22
Na2 0.0000 0.5000 0.2316  2 O 2.28
Na3 0.0000 0.5000 0.7684  2 O 2.28
Na4 0.5000 0.0000 0.2316  2 O 2.28
Na5 0.5000 0.0000 0.7684  2 O 2.28
Au1 0.0000 0.0000 0.5000  2 O 2.02
S1 0.5000 0.5000 0.0000  12 Na 3.00-3.20
O1 0.0000 0.0000 0.2617  1 Au 2.02, 1 Na 2.22
O2 0.0000 0.0000 0.7383  1 Au 2.02, 1 Na 2.22

Entry 2:
This record from OQMD via LeMat-Bulk describes CdGa2TeS3 after structural relaxation. The functional is PBE.

Computed properties:
Its space group is P1. Its crystal system is triclinic. The total energy comes out at -3.81 eV per atom.

a b c (Å): 5.7150 5.9115 6.5587
angles (deg): 113.43 113.55 92.31
Closest atoms and distances in Å follow each position.
Fractional positions:
Cd1 0.0000 0.0000 0.0000  3 S 2.58-2.60, 1 Te 2.82
Ga1 0.5206 0.4854 0.0035  3 S 2.31-2.33
Ga2 0.7817 0.2664 0.5206  3 S 2.31-2.32
Te1 0.4056 0.8574 0.3083  2 Ga 2.63, 1 Cd 2.82
S1 0.1468 0.1531 0.7427  2 Ga 2.32-2.33, 1 Cd 2.58
S2 0.6303 0.5860 0.7415  2 Ga 2.31-2.32
S3 0.8733 0.3862 0.2602  2 Ga 2.31-2.33, 1 Cd 2.58

Entry 3:
This record from OQMD via LeMat-Bulk describes TbPaNO after structural relaxation. The functional is PBE.

Computed properties:
As for the total magnetic moment: 0.0 μB per cell. Its space group is P4/nmm. Its crystal system is tetragonal. The total energy comes out at -8.02 eV per atom.

a b c (Å): 4.2536 4.2536 8.0388
angles (deg): 90.00 90.00 90.00
Closest atoms and distances in Å follow each position.
Fractional positions:
Tb1 0.2500 0.2500 0.1085  4 O 2.30
Tb2 0.7500 0.7500 0.8915  4 O 2.30
Pa1 0.2500 0.7500 0.5000  4 N 2.39
Pa2 0.7500 0.2500 0.5000  4 N 2.39
N1 0.2500 0.2500 0.6354  4 Pa 2.39
N2 0.7500 0.7500 0.3646  4 Pa 2.39
O1 0.2500 0.7500 0.0000  4 Tb 2.30
O2 0.7500 0.2500 0.0000  4 Tb 2.30

Entry 4:
This record from OQMD via LeMat-Bulk describes LiLuInAg after structural relaxation. The functional is PBE.

Computed properties:
As for the total magnetic moment: 0.0 μB per cell. Its space group is F-43m. Its crystal system is cubic. The total energy comes out at -3.28 eV per atom.

a b c (Å): 4.9243 4.9243 4.9243
angles (deg): 60.00 60.00 60.00
Closest atoms and distances in Å follow each position.
Fractional positions:
Li1 0.0000 0.0000 0.0000  4 In 3.02, 4 Ag 3.02
Lu1 0.5000 0.5000 0.5000  4 In 3.02, 4 Ag 3.02
In1 0.2500 0.2500 0.2500  4 Li 3.02, 4 Lu 3.02
Ag1 0.7500 0.7500 0.7500  4 Lu 3.02, 4 Li 3.02